Crystalline NaTmZn4 at its relaxed geometry, computed with PBE-GGA.

It has space group F-43m (No. 216), with a = 7.6480 Å, b = 7.6480 Å, c = 7.6480 Å, α = 90.00°, β = 90.00° and γ = 90.00°. The distinct sites, in fractional coordinates, are Na at (0.0000, 0.0000, 0.0000), Tm at (0.2500, 0.2500, 0.7500) and Zn at (0.1249, 0.1249, 0.3751).

Its density of states at the Fermi level is 10.83 states/eV/cell. Its energy of formation is -0.8 eV per formula unit. The value obtained for the calculated density is 6.73 g/cm3.

Crystalline YNb2C2 at its relaxed geometry, computed with PBE-GGA.

It has space group I4/mmm (No. 139), with a = 4.1524 Å, b = 4.1524 Å, c = 8.7435 Å, α = 90.00°, β = 90.00° and γ = 90.00°. The distinct sites, in fractional coordinates, are Y at (0.0000, 0.0000, 0.0000), Nb at (0.0000, 0.0000, 0.3319) and C at (0.0000, 0.5000, 0.2500).

Its density of states at the Fermi level is 5.94 states/eV/cell. Its energy of formation is -0.1 eV per formula unit. The energy above the most stable polymorph in this dataset is 0 meV/atom. The value obtained for the calculated density is 6.58 g/cm3.

Crystalline In2SiAu at its relaxed geometry, computed with PBE-GGA.

It has space group R3m (No. 160, hexagonal axes), with a = 3.5907 Å, b = 3.5907 Å, c = 24.1352 Å, α = 90.00°, β = 90.00° and γ = 120.00°. The distinct sites, in fractional coordinates, are In at (0.0000, 0.0000, 0.0000), In at (0.0000, 0.0000, 0.2313), Si at (0.0000, 0.0000, 0.7507) and Au at (0.0000, 0.0000, 0.4775).

Its formation energy from raw total energies is 0.0673 eV/atom. Its density of states at the Fermi level is 3.15 states/eV/cell. The value obtained for the calculated density is 8.41 g/cm3.

Crystalline SnAs2Se2 at its relaxed geometry, computed with PBE-GGA.

It has space group I4/mmm (No. 139), with a = 3.7881 Å, b = 3.7881 Å, c = 16.2817 Å, α = 90.00°, β = 90.00° and γ = 90.00°. The distinct sites, in fractional coordinates, are Sn at (0.0000, 0.0000, 0.0000), As at (0.0000, 0.5000, 0.2500) and Se at (0.0000, 0.0000, 0.3993).

Its formation energy from raw total energies is 0.1397 eV/atom. Its density of states at the Fermi level is 4.56 states/eV/cell. The energy above the most stable polymorph in this dataset is 111 meV/atom. The value obtained for the calculated density is 6.06 g/cm3.

Crystalline NaAl2Ru at its relaxed geometry, computed with PBE-GGA.

It has space group I-42d (No. 122), with a = 5.3931 Å, b = 5.3931 Å, c = 15.5198 Å, α = 90.00°, β = 90.00° and γ = 90.00°. The distinct sites, in fractional coordinates, are Na at (0.0000, 0.0000, 0.0000), Al at (0.0048, 0.2500, 0.6250) and Ru at (0.0000, 0.0000, 0.5000).

Its density of states at the Fermi level is 6.82 states/eV/cell. Its energy of formation is 1.6 eV per formula unit. The energy above the most stable polymorph in this dataset is 457 meV/atom. The value obtained for the calculated density is 2.62 g/cm3.

Crystalline Cd7AgHg6 at its relaxed geometry, computed with PBE-GGA.

It has space group Ibam (No. 72), with a = 5.8076 Å, b = 23.0863 Å, c = 10.7062 Å, α = 90.00°, β = 90.00° and γ = 90.00°. The distinct sites, in fractional coordinates, are Cd at (0.0000, 0.0000, 0.2500), Cd at (0.1351, 0.2327, 0.1332), Cd at (0.2480, 0.4866, 0.0000), Ag at (0.0000, 0.5000, 0.2500), Hg at (0.2270, 0.3881, 0.3363) and Hg at (0.2479, 0.1419, 0.5000).

Its density of states at the Fermi level is 13.32 states/eV/cell. Its energy of formation is 0.5 eV per formula unit. The value obtained for the calculated density is 9.71 g/cm3.

Crystalline CdTe2As at its relaxed geometry, computed with PBE-GGA.

It has space group P2/m (No. 10), with a = 3.1133 Å, b = 4.2449 Å, c = 8.5896 Å, α = 90.00°, β = 95.80° and γ = 90.00°. The distinct sites, in fractional coordinates, are Cd at (0.0000, 0.0000, 0.0000), Te at (0.0751, 0.5000, 0.7389) and As at (0.0000, 0.0000, 0.5000).

Its formation energy from raw total energies is 0.0303 eV/atom. Its density of states at the Fermi level is 1.35 states/eV/cell. The energy above the most stable polymorph in this dataset is 112 meV/atom. The value obtained for the calculated density is 6.51 g/cm3.

Crystalline ErMgGaPd at its relaxed geometry, computed with PBE-GGA.

It has space group F-43m (No. 216), with a = 6.7700 Å, b = 6.7700 Å, c = 6.7700 Å, α = 90.00°, β = 90.00° and γ = 90.00°. The distinct sites, in fractional coordinates, are Er at (0.0000, 0.0000, 0.0000), Mg at (0.0000, 0.0000, 0.5000), Ga at (0.2500, 0.2500, 0.2500) and Pd at (0.2500, 0.2500, 0.7500).

Its density of states at the Fermi level is 4.68 states/eV/cell. Its energy of formation is -2.6 eV per formula unit. The value obtained for the calculated density is 7.87 g/cm3.

Crystalline La2HPdAu at its relaxed geometry, computed with PBE-GGA.

It has space group P4/mmm (No. 123), with a = 5.1644 Å, b = 5.1644 Å, c = 3.9885 Å, α = 90.00°, β = 90.00° and γ = 90.00°. The distinct sites, in fractional coordinates, are La at (0.0000, 0.5000, 0.0000), H at (0.0000, 0.0000, 0.0000), Pd at (0.5000, 0.5000, 0.5000) and Au at (0.0000, 0.0000, 0.5000).

Its density of states at the Fermi level is 4.14 states/eV/cell. The energy above the most stable polymorph in this dataset is 93 meV/atom. The value obtained for the calculated density is 9.09 g/cm3.

Crystalline ErZnGaAu2 at its relaxed geometry, computed with PBE-GGA.

It has space group Cmme (No. 67), with a = 5.4637 Å, b = 13.5463 Å, c = 5.4955 Å, α = 90.00°, β = 90.00° and γ = 90.00°. The distinct sites, in fractional coordinates, are Er at (0.0000, 0.2500, 0.2301), Zn at (0.2500, 0.0000, 0.5000), Ga at (0.0000, 0.0000, 0.0000) and Au at (0.0000, 0.1486, 0.7118).

Its density of states at the Fermi level is 7.60 states/eV/cell. Its energy of formation is -2.4 eV per formula unit. The value obtained for the calculated density is 11.37 g/cm3.

Crystalline Ba2Al3Zn4Cd at its relaxed geometry, computed with PBE-GGA.

It has space group P-4m2 (No. 115), with a = 4.6787 Å, b = 4.6787 Å, c = 10.8232 Å, α = 90.00°, β = 90.00° and γ = 90.00°. The distinct sites, in fractional coordinates, are Ba at (0.0000, 0.5000, 0.2425), Al at (0.0000, 0.5000, 0.8795), Al at (0.5000, 0.5000, 0.5000), Zn at (0.0000, 0.0000, 0.0000), Zn at (0.0000, 0.5000, 0.6343), Zn at (0.5000, 0.5000, 0.0000) and Cd at (0.0000, 0.0000, 0.5000).

Its density of states at the Fermi level is 7.29 states/eV/cell. Its energy of formation is -2.0 eV per formula unit. The value obtained for the calculated density is 5.11 g/cm3.

Crystalline AcPmBr at its relaxed geometry, computed with PBE-GGA.

It has space group Aem2 (No. 39), with a = 17.3451 Å, b = 3.9657 Å, c = 6.7816 Å, α = 90.00°, β = 90.00° and γ = 90.00°. The distinct sites, in fractional coordinates, are Ac at (0.0975, 0.2500, 0.0000), Pm at (0.2733, 0.2500, 0.3295) and Br at (0.3864, 0.2500, 0.6629).

Its formation energy from raw total energies is -0.7766 eV/atom. Its density of states at the Fermi level is 11.64 states/eV/cell. The energy above the most stable polymorph in this dataset is 0 meV/atom. The value obtained for the calculated density is 6.43 g/cm3.